No. 1
# LiAcH4 PBE-GGA relaxed
data_LiAcH4
_symmetry_space_group_name_H-M 'C 1 2/m 1'
_symmetry_Int_Tables_number 12
_cell_length_a 7.686
_cell_length_b 5.313
_cell_length_c 4.012
_cell_angle_alpha 90.00
_cell_angle_beta 121.31
_cell_angle_gamma 90.00
loop_
_symmetry_equiv_pos_as_xyz
'x,y,z'
'-x,-y,-z'
'-x,y,-z'
'x,-y,z'
'x+1/2,y+1/2,z'
'-x+1/2,-y+1/2,-z'
'-x+1/2,y+1/2,-z'
'x+1/2,-y+1/2,z'
loop_
_atom_site_label
_atom_site_type_symbol
_atom_site_fract_x
_atom_site_fract_y
_atom_site_fract_z
Li1 Li 0.000 0.000 0.000
Ac1 Ac 0.000 0.500 0.500
H1 H 0.173 0.268 0.174
# Calculated total energy (eV per cell): -42.29
# DOS(E_F) (states/eV per atom): 0.22
# Crystal system: monoclinic

---

No. 2
# AcZn2GeRu2 PBE-GGA relaxed
data_AcZn2GeRu2
_symmetry_space_group_name_H-M 'P 4/m m m'
_symmetry_Int_Tables_number 123
_symmetry_space_group_name_Hall '-P 4 2'
_cell_length_a 4.591
_cell_length_b 4.591
_cell_length_c 6.006
_cell_angle_alpha 90.00
_cell_angle_beta 90.00
_cell_angle_gamma 90.00
loop_
_atom_site_label
_atom_site_type_symbol
_atom_site_fract_x
_atom_site_fract_y
_atom_site_fract_z
Ac1 Ac 0.000 0.000 0.000
Zn1 Zn 0.500 0.500 0.254
Ge1 Ge 0.000 0.000 0.500
Ru1 Ru 0.000 0.500 0.500
# DOS(E_F) (states/eV per atom): 0.52
# Crystal system: tetragonal
# Formation enthalpy at 0 K (eV per atom): -0.097

---

No. 3
# Pm4Pr2DyEr PBE-GGA relaxed
data_Pm4Pr2DyEr
_symmetry_space_group_name_H-M 'C 1 2/c 1'
_symmetry_Int_Tables_number 15
_cell_length_a 13.818
_cell_length_b 13.325
_cell_length_c 6.917
_cell_angle_alpha 90.00
_cell_angle_beta 119.74
_cell_angle_gamma 90.00
loop_
_symmetry_equiv_pos_as_xyz
'x,y,z'
'-x,-y,-z'
'-x,y,-z+1/2'
'x,-y,z+1/2'
'x+1/2,y+1/2,z'
'-x+1/2,-y+1/2,-z'
'-x+1/2,y+1/2,-z+1/2'
'x+1/2,-y+1/2,z+1/2'
loop_
_atom_site_label
_atom_site_type_symbol
_atom_site_fract_x
_atom_site_fract_y
_atom_site_fract_z
Pm1 Pm 0.008 0.246 0.010
Pm2 Pm 0.247 0.004 0.448
Pr1 Pr 0.000 0.500 0.000
Pr2 Pr 0.250 0.250 0.000
Dy1 Dy 0.000 0.000 0.000
Er1 Er 0.250 0.250 0.500
# DOS(E_F) (states/eV per atom): 2.19
# Crystal system: monoclinic
# Formation enthalpy at 0 K (eV per atom): 0.383

---

No. 4
# Sc2CuHgC PBE-GGA relaxed
data_Sc2CuHgC
_symmetry_space_group_name_H-M 'P 4/m m m'
_symmetry_Int_Tables_number 123
_symmetry_space_group_name_Hall '-P 4 2'
_cell_length_a 4.575
_cell_length_b 4.575
_cell_length_c 3.957
_cell_angle_alpha 90.00
_cell_angle_beta 90.00
_cell_angle_gamma 90.00
loop_
_atom_site_label
_atom_site_type_symbol
_atom_site_fract_x
_atom_site_fract_y
_atom_site_fract_z
Sc1 Sc 0.000 0.500 0.000
Cu1 Cu 0.000 0.000 0.500
Hg1 Hg 0.500 0.500 0.500
C1 C 0.000 0.000 0.000
# DOS(E_F) (states/eV per atom): 0.77
# Crystal system: tetragonal
# Formation enthalpy at 0 K (eV per atom): -0.296

---

Looking at total magnetic moment for the records above, in order, we have 0.00 0.00 0.00 0.00 μB/f.u..